VASP calculation (PBEsol) on ZrBeW2 after structural relaxation.

CIF file:
```
data_ZrBeW2
_space_group_name_H-M_alt 'P 4/m m m'
_space_group_IT_number 123
_space_group_name_Hall '-P 4 2'
_cell_length_a 2.706
_cell_length_b 2.706
_cell_length_c 8.286
_cell_angle_alpha 90.00
_cell_angle_beta 90.00
_cell_angle_gamma 90.00
loop_
_atom_site_label
_atom_site_type_symbol
_atom_site_fract_x
_atom_site_fract_y
_atom_site_fract_z
Zr1 Zr 0.000 0.000 0.000
Be1 Be 0.000 0.000 0.500
W1 W 0.500 0.500 0.299
```

Calculated values
D(E_F) in states/eV/atom: 0.57
E_form in eV per atom: 0.280